# 1
A plane-wave DFT calculation with PBE-GGA was carried out for a relaxed structure of YScZnNi.

a = 6.760 Å, b = 6.760 Å, c = 6.760 Å
α = 90.00°, β = 90.00°, γ = 90.00°
Space group F-43m (No. 216)
One atom of each set of equivalent atoms:
Y (0.000, 0.000, 0.000) (multiplicity 4)
Sc (0.000, 0.000, 0.500) (multiplicity 4)
Zn (0.250, 0.250, 0.250) (multiplicity 4)
Ni (0.250, 0.250, 0.750) (multiplicity 4)

Results
- E_form: -1.399 eV per formula unit
- Total magnetic moment: 0.0 μB per formula unit
- E: -85.00 eV/cell

=====

# 2
A plane-wave DFT calculation with PBE-GGA was carried out for a relaxed structure of Mg2AlFe2.

a = 6.088 Å, b = 6.088 Å, c = 4.220 Å
α = 90.00°, β = 90.00°, γ = 90.00°
Space group P4/mbm (No. 127)
One atom of each set of equivalent atoms:
Mg (0.170, 0.330, 0.000) (multiplicity 4)
Al (0.000, 0.000, 0.500) (multiplicity 2)
Fe (0.125, 0.625, 0.500) (multiplicity 4)

Results
- E_form: 0.380 eV per formula unit
- Total magnetic moment: 2.2 μB per formula unit
- E: -46.95 eV/cell

=====

# 3
A plane-wave DFT calculation with PBE-GGA was carried out for a relaxed structure of MnSiPd2.

a = 3.828 Å, b = 3.828 Å, c = 17.194 Å
α = 90.00°, β = 90.00°, γ = 90.00°
Space group I-42d (No. 122)
One atom of each set of equivalent atoms:
Mn (0.000, 0.000, 0.000) (multiplicity 4)
Si (0.000, 0.000, 0.500) (multiplicity 4)
Pd (0.241, 0.250, 0.625) (multiplicity 8)

Results
- Total magnetic moment: 3.6 μB per formula unit
- Uncorrected formation energy: -0.06 eV per atom
- E: -100.82 eV/cell

=====

# 4
A plane-wave DFT calculation with PBE-GGA was carried out for a relaxed structure of K2NaHfV.

a = 6.974 Å, b = 6.974 Å, c = 4.715 Å
α = 90.00°, β = 90.00°, γ = 90.00°
Space group P4/mmm (No. 123)
One atom of each set of equivalent atoms:
K (0.000, 0.500, 0.000) (multiplicity 2)
Na (0.000, 0.000, 0.500) (multiplicity 1)
Hf (0.500, 0.500, 0.000) (multiplicity 1)
V (0.500, 0.500, 0.500) (multiplicity 1)

Results
- E_form: 6.285 eV per formula unit
- Total magnetic moment: 2.8 μB per formula unit
- E: -16.30 eV/cell

=====

# 5
A plane-wave DFT calculation with PBE-GGA was carried out for a relaxed structure of NpZnRu.

a = 4.5802 Å, b = 4.5802 Å, c = 2.9206 Å
α = 90.00°, β = 90.00°, γ = 120.00°
Space group P3m1 (No. 156)
One atom of each set of equivalent atoms:
Np (0.0000, 0.0000, 0.0000) (multiplicity 1)
Zn (0.6667, 0.3333, 0.5100) (multiplicity 1)
Ru (0.3333, 0.6667, 0.3634) (multiplicity 1)

Results
- E_form: 0.281 eV per formula unit
- Total magnetic moment: 3.3 μB per formula unit
- E: -23.21 eV/cell

=====

# 6
A plane-wave DFT calculation with PBE-GGA was carried out for a relaxed structure of U2GeTe.

a = 4.0421 Å, b = 4.0421 Å, c = 23.0386 Å
α = 90.00°, β = 90.00°, γ = 120.00°
Space group R3m (No. 160, hexagonal axes)
One atom of each set of equivalent atoms:
U (0.0000, 0.0000, 0.0000) (multiplicity 3)
U (0.0000, 0.0000, 0.1852) (multiplicity 3)
Ge (0.0000, 0.0000, 0.5917) (multiplicity 3)
Te (0.0000, 0.0000, 0.7602) (multiplicity 3)

Results
- Energy above the most stable polymorph in this dataset: 0.051 eV/atom
- Total magnetic moment: 5.6 μB per formula unit
- Uncorrected formation energy: -0.22 eV per atom
- E: -93.69 eV/cell

=====

# 7
A plane-wave DFT calculation with PBE-GGA was carried out for a relaxed structure of Ba2ZnCu2Pd5.

a = 10.087 Å, b = 10.087 Å, c = 3.832 Å
α = 90.00°, β = 90.00°, γ = 90.00°
Space group P4/mbm (No. 127)
One atom of each set of equivalent atoms:
Ba (0.180, 0.320, 0.000) (multiplicity 4)
Zn (0.000, 0.000, 0.000) (multiplicity 2)
Cu (0.120, 0.620, 0.000) (multiplicity 4)
Pd (0.000, 0.500, 0.500) (multiplicity 2)
Pd (0.056, 0.801, 0.500) (multiplicity 8)

Results
- E_form: -3.096 eV per formula unit
- Total magnetic moment: 0.0 μB per formula unit
- E: -84.74 eV/cell

=====

# 8
A plane-wave DFT calculation with PBE-GGA was carried out for a relaxed structure of SmTh2Zn3.

a = 5.1682 Å, b = 5.1682 Å, c = 6.3494 Å
α = 90.00°, β = 90.00°, γ = 120.00°
Space group P-3m1 (No. 164)
One atom of each set of equivalent atoms:
Sm (0.0000, 0.0000, 0.0000) (multiplicity 1)
Th (0.3333, 0.6667, 0.6648) (multiplicity 2)
Zn (0.0000, 0.0000, 0.5000) (multiplicity 1)
Zn (0.3333, 0.6667, 0.1635) (multiplicity 2)

Results
- E_form: -1.300 eV per formula unit
- Total magnetic moment: 0.0 μB per formula unit
- E: -24.68 eV/cell